# Pr3Sm2Ho7 (PBE, relaxed)
data_Pr3Sm2Ho7
_chemical_formula_sum 'Pr3 Sm2 Ho7'
_space_group_name_H-M_alt 'P 1 2/m 1'
_space_group_IT_number 10
_cell_length_a 5.857
_cell_length_b 3.591
_cell_length_c 18.906
_cell_angle_alpha 90.00
_cell_angle_beta 93.18
_cell_angle_gamma 90.00
loop_
_space_group_symop_operation_xyz
'x,y,z'
'-x,-y,-z'
'-x,y,-z'
'x,-y,z'
loop_
_atom_site_label
_atom_site_fract_x
_atom_site_fract_y
_atom_site_fract_z
_atom_site_occupancy
Pr1 0.000 0.000 0.000 1
Pr2 0.275 0.500 0.632 1
Sm1 0.213 0.000 0.292 1
Ho1 0.192 0.500 0.143 1
Ho2 0.243 0.000 0.462 1
Ho3 0.306 0.000 0.827 1
Ho4 0.500 0.500 0.000 1
# DFT formation energy = 1.03 eV per formula unit
# relative energy among the computed polymorphs = 0 meV/atom
# density = 7.86 g/cm³